Crystalline Ac5PS4 at its relaxed geometry. Source: Alexandria, functional PBE-GGA.

Values from the calculation:
ΔE_f (raw) = -185.5 kJ/mol of atoms
crystal system = tetragonal
total energy = -61.7 eV/cell

Cell: 15.635 15.635 15.635 Å, 164.06 164.06 22.61°
Positions (direct):
Ac (0.000, 0.000, 0.000)
Ac (0.201, 0.201, 0.000)
Ac (0.401, 0.401, 0.000)
Ac (0.599, 0.599, 0.000)
Ac (0.799, 0.799, 0.000)
P (0.500, 0.500, 0.000)
S (0.101, 0.101, 0.000)
S (0.300, 0.300, 0.000)
S (0.700, 0.700, 0.000)
S (0.899, 0.899, 0.000)

***

Crystalline TaMnAu2 at its relaxed geometry. Source: Alexandria, functional PBE-GGA.

Values from the calculation:
crystal system = cubic
energy of formation = 0.17 eV per atom
total energy = -107.6 eV/cell

Cell: 6.434 6.434 6.434 Å, 90.00 90.00 90.00°
Positions (direct):
Ta (0.000, 0.000, 0.000)
Ta (0.000, 0.500, 0.500)
Ta (0.500, 0.000, 0.500)
Ta (0.500, 0.500, 0.000)
Mn (0.250, 0.250, 0.250)
Mn (0.250, 0.750, 0.750)
Mn (0.750, 0.250, 0.750)
Mn (0.750, 0.750, 0.250)
Au (0.000, 0.000, 0.500)
Au (0.000, 0.500, 0.000)
Au (0.250, 0.250, 0.750)
Au (0.250, 0.750, 0.250)
Au (0.500, 0.000, 0.000)
Au (0.500, 0.500, 0.500)
Au (0.750, 0.250, 0.250)
Au (0.750, 0.750, 0.750)

***

Crystalline Y4Ru at its relaxed geometry. Source: Alexandria, functional PBE-GGA.

Values from the calculation:
offset from the most stable computed form = 0.089 eV/atom
crystal system = cubic
energy of formation = -0.05 eV per atom
total energy = -35.4 eV/cell

Cell: 5.403 5.403 5.403 Å, 90.00 90.00 90.00°
Positions (direct):
Y (0.000, 0.000, 0.000)
Y (0.000, 0.500, 0.500)
Y (0.500, 0.000, 0.500)
Y (0.500, 0.500, 0.000)
Ru (0.500, 0.500, 0.500)

***

Crystalline NbW4 at its relaxed geometry. Source: Alexandria, functional PBE-GGA.

Values from the calculation:
offset from the most stable computed form = 0.614 eV/atom
crystal system = monoclinic
energy of formation = 0.56 eV per atom
total energy = -118.2 eV/cell

Cell: 5.135 7.830 4.633 Å, 90.00 109.72 90.00°
Positions (direct):
Nb (0.000, 0.120, 0.250)
Nb (0.000, 0.880, 0.750)
W (0.266, 0.417, 0.439)
W (0.266, 0.583, 0.939)
W (0.347, 0.153, 0.924)
W (0.347, 0.847, 0.424)
W (0.653, 0.153, 0.576)
W (0.653, 0.847, 0.076)
W (0.734, 0.417, 0.061)
W (0.734, 0.583, 0.561)

***

Crystalline RbScPt3 at its relaxed geometry. Source: Alexandria, functional PBE-GGA.

Values from the calculation:
offset from the most stable computed form = 0.000 eV/atom
crystal system = cubic
energy of formation = 0.23 eV per atom
total energy = -24.3 eV/cell

Cell: 5.043 5.043 5.043 Å, 90.00 90.00 90.00°
Positions (direct):
Rb (0.000, 0.000, 0.000)
Sc (0.500, 0.500, 0.500)
Pt (0.000, 0.500, 0.500)
Pt (0.500, 0.000, 0.500)
Pt (0.500, 0.500, 0.000)

***

Crystalline Sr2AlGeAs at its relaxed geometry. Source: Alexandria, functional PBE-GGA.

Values from the calculation:
crystal system = monoclinic
energy of formation = -0.70 eV per atom
total energy = -39.7 eV/cell

Cell: 7.693 4.315 9.483 Å, 90.00 106.95 90.00°
Positions (direct):
Sr (0.179, 0.250, 0.404)
Sr (0.235, 0.250, 0.962)
Sr (0.765, 0.750, 0.038)
Sr (0.821, 0.750, 0.596)
Al (0.496, 0.750, 0.271)
Al (0.504, 0.250, 0.729)
Ge (0.316, 0.750, 0.696)
Ge (0.684, 0.250, 0.304)
As (0.173, 0.750, 0.175)
As (0.827, 0.250, 0.825)